A plane-wave DFT calculation with GGA-PBEsol was carried out for an optimized crystal structure of MgTaSb2.

Geometry as POSCAR:
```
MgTaSb2
1.0
3.126 0.000 0.000
1.563 2.708 0.000
1.563 0.903 10.875
Sb Mg Ta
2 1 1
Cartesian
4.690 2.708 7.677
4.690 2.708 0.394
1.563 0.903 2.914
3.126 1.805 5.328
```

**D(E_F)**: 2.612 states/eV/f.u.
**Crystal system**: trigonal
**Total magnetic moment**: 0.000 μB/cell
**Volume**: 23.02 Å³ per atom
**Space group**: R3m (160)
**Energy relative to the elements, uncorrected**: 0.188 eV/atom